(1)
A geometry-optimized PrDy3Y2 structure. Source: Alexandria via LeMat-Bulk, functional PBE.

Cell lengths 6.200, 6.200, 11.865 Å; angles 110.39, 110.39, 70.52 degrees
Atoms (fractional coordinates):
Pr 0.125 0.875 0.750
Pr 0.875 0.125 0.250
Dy 0.041 0.291 0.582
Dy 0.291 0.041 0.082
Dy 0.375 0.625 0.250
Dy 0.625 0.375 0.750
Dy 0.709 0.959 0.918
Dy 0.959 0.709 0.418
Y 0.208 0.458 0.917
Y 0.458 0.208 0.417
Y 0.542 0.792 0.583
Y 0.792 0.542 0.083

Calculated values
N(E_F): 1.36 states/eV/atom
crystal system: monoclinic
formation energy from the elements: 0.0183 eV per atom
SG: C2/c
M_tot: 0.0 μB/cell

***

(2)
A geometry-optimized Pr2DyY2 structure. Source: Alexandria via LeMat-Bulk, functional PBE.

Cell lengths 8.696, 12.529, 6.631 Å; angles 90.00, 108.09, 90.00 degrees
Atoms (fractional coordinates):
Pr 0.092 0.047 0.259
Pr 0.092 0.453 0.759
Pr 0.357 0.547 0.247
Pr 0.357 0.953 0.747
Pr 0.643 0.047 0.253
Pr 0.643 0.453 0.753
Pr 0.908 0.547 0.241
Pr 0.908 0.953 0.741
Dy 0.373 0.657 0.745
Dy 0.373 0.843 0.245
Dy 0.627 0.157 0.755
Dy 0.627 0.343 0.255
Y 0.049 0.706 0.924
Y 0.049 0.794 0.424
Y 0.298 0.197 0.982
Y 0.298 0.303 0.482
Y 0.702 0.697 0.518
Y 0.702 0.803 0.018
Y 0.951 0.206 0.576
Y 0.951 0.294 0.076

Calculated values
N(E_F): 1.43 states/eV/atom
crystal system: monoclinic
formation energy from the elements: 0.1335 eV per atom
SG: P2_1/c
M_tot: 0.0 μB/cell

***

(3)
A geometry-optimized PrDy5Y6 structure. Source: Alexandria via LeMat-Bulk, functional PBE.

Cell lengths 6.183, 6.183, 11.827 Å; angles 94.98, 94.98, 119.96 degrees
Atoms (fractional coordinates):
Pr 0.000 0.000 0.000
Dy 0.167 0.833 0.500
Dy 0.333 0.667 0.000
Dy 0.500 0.500 0.500
Dy 0.667 0.333 0.000
Dy 0.833 0.167 0.500
Y 0.084 0.418 0.252
Y 0.251 0.251 0.749
Y 0.418 0.084 0.252
Y 0.582 0.916 0.748
Y 0.749 0.749 0.251
Y 0.916 0.582 0.748

Calculated values
N(E_F): 1.39 states/eV/atom
crystal system: monoclinic
formation energy from the elements: 0.0195 eV per atom
SG: C2/m
M_tot: 0.0 μB/cell

***

(4)
A geometry-optimized Pr5Dy5Y structure. Source: Alexandria via LeMat-Bulk, functional PBE.

Cell lengths 6.172, 6.172, 11.792 Å; angles 90.00, 90.00, 120.00 degrees
Atoms (fractional coordinates):
Pr 0.000 0.000 0.000
Pr 0.333 0.667 0.316
Pr 0.333 0.667 0.684
Pr 0.667 0.333 0.154
Pr 0.667 0.333 0.846
Dy 0.000 0.000 0.266
Dy 0.000 0.000 0.734
Dy 0.333 0.167 0.500
Dy 0.833 0.167 0.500
Dy 0.833 0.667 0.500
Y 0.333 0.667 0.000

Calculated values
N(E_F): 1.93 states/eV/atom
crystal system: hexagonal
formation energy from the elements: 0.2764 eV per atom
SG: P-6m2
M_tot: 0.0 μB/cell

***

(5)
A geometry-optimized Pr2Dy5Y5 structure. Source: Alexandria via LeMat-Bulk, functional PBE.

Cell lengths 8.007, 8.007, 11.332 Å; angles 115.07, 115.07, 36.91 degrees
Atoms (fractional coordinates):
Pr 0.083 0.083 0.249
Pr 0.917 0.917 0.751
Dy 0.000 0.000 0.500
Dy 0.168 0.168 0.000
Dy 0.249 0.249 0.750
Dy 0.751 0.751 0.250
Dy 0.832 0.832 0.000
Y 0.334 0.334 0.500
Y 0.415 0.415 0.249
Y 0.500 0.500 0.000
Y 0.585 0.585 0.751
Y 0.666 0.666 0.500

Calculated values
N(E_F): 1.50 states/eV/atom
crystal system: monoclinic
formation energy from the elements: 0.0217 eV per atom
SG: C2/m
M_tot: 0.0 μB/cell

***

(6)
A geometry-optimized Pr2Dy3Y6 structure. Source: Alexandria via LeMat-Bulk, functional PBE.

Cell lengths 17.171, 17.171, 17.171 Å; angles 164.09, 164.09, 22.58 degrees
Atoms (fractional coordinates):
Pr 0.046 0.046 0.000
Pr 0.954 0.954 0.000
Dy 0.300 0.300 0.000
Dy 0.500 0.500 0.000
Dy 0.700 0.700 0.000
Y 0.122 0.622 0.500
Y 0.198 0.198 0.000
Y 0.378 0.878 0.500
Y 0.622 0.122 0.500
Y 0.802 0.802 0.000
Y 0.878 0.378 0.500

Calculated values
N(E_F): 1.61 states/eV/atom
crystal system: tetragonal
formation energy from the elements: 0.2779 eV per atom
SG: I4/mmm
M_tot: 0.0 μB/cell

***

(7)
A geometry-optimized Pr2DyY3 structure. Source: Alexandria via LeMat-Bulk, functional PBE.

Cell lengths 6.700, 17.770, 3.422 Å; angles 90.00, 90.00, 90.00 degrees
Atoms (fractional coordinates):
Pr 0.238 0.150 0.000
Pr 0.262 0.650 0.500
Pr 0.738 0.350 0.500
Pr 0.762 0.850 0.000
Dy 0.000 0.500 0.500
Dy 0.500 0.000 0.000
Y 0.000 0.000 0.500
Y 0.242 0.322 0.500
Y 0.258 0.822 0.000
Y 0.500 0.500 0.000
Y 0.742 0.178 0.000
Y 0.758 0.678 0.500

Calculated values
N(E_F): 1.53 states/eV/atom
crystal system: orthorhombic
formation energy from the elements: 0.2479 eV per atom
SG: Pnnm
M_tot: 0.0 μB/cell

***

(8)
A geometry-optimized Pr4Dy4Y structure. Source: Alexandria via LeMat-Bulk, functional PBE.

Cell lengths 5.721, 6.774, 9.005 Å; angles 68.60, 71.63, 89.92 degrees
Atoms (fractional coordinates):
Pr 0.134 0.309 0.234
Pr 0.280 0.844 0.940
Pr 0.720 0.156 0.060
Pr 0.866 0.691 0.766
Dy 0.072 0.767 0.358
Dy 0.378 0.423 0.743
Dy 0.622 0.577 0.257
Dy 0.928 0.233 0.642
Y 0.500 0.000 0.500

Calculated values
N(E_F): 1.68 states/eV/atom
crystal system: triclinic
formation energy from the elements: 0.1028 eV per atom
SG: P-1
M_tot: 0.0 μB/cell

***

(9)
A geometry-optimized PrDy12Y5 structure. Source: Alexandria via LeMat-Bulk, functional PBE.

Cell lengths 10.679, 10.679, 5.034 Å; angles 90.00, 90.00, 90.09 degrees
Atoms (fractional coordinates):
Pr 0.000 0.000 0.000
Dy 0.001 0.335 0.000
Dy 0.166 0.499 0.500
Dy 0.169 0.169 0.500
Dy 0.333 0.333 0.000
Dy 0.335 0.001 0.000
Dy 0.499 0.166 0.500
Dy 0.501 0.834 0.500
Dy 0.665 0.999 0.000
Dy 0.667 0.667 0.000
Dy 0.831 0.831 0.500
Dy 0.834 0.501 0.500
Dy 0.999 0.665 0.000
Y 0.168 0.832 0.500
Y 0.333 0.667 0.000
Y 0.500 0.500 0.500
Y 0.667 0.333 0.000
Y 0.832 0.168 0.500

Calculated values
N(E_F): 1.41 states/eV/atom
crystal system: orthorhombic
formation energy from the elements: 0.0211 eV per atom
SG: Cmmm
M_tot: 0.0 μB/cell

***

(10)
A geometry-optimized PrDy2Y3 structure. Source: Alexandria via LeMat-Bulk, functional PBE.

Cell lengths 11.751, 11.751, 10.302 Å; angles 108.18, 108.18, 17.26 degrees
Atoms (fractional coordinates):
Pr 0.184 0.184 0.041
Pr 0.816 0.816 0.959
Dy 0.193 0.193 0.374
Dy 0.431 0.431 0.859
Dy 0.569 0.569 0.141
Dy 0.807 0.807 0.626
Y 0.060 0.060 0.444
Y 0.196 0.196 0.716
Y 0.433 0.433 0.234
Y 0.567 0.567 0.766
Y 0.804 0.804 0.284
Y 0.940 0.940 0.556

Calculated values
N(E_F): 1.61 states/eV/atom
crystal system: monoclinic
formation energy from the elements: 0.1201 eV per atom
SG: C2/m
M_tot: 0.0 μB/cell

***

(11)
A geometry-optimized Pr7DyY4 structure. Source: Alexandria via LeMat-Bulk, functional PBE.

Cell lengths 10.095, 10.095, 6.156 Å; angles 91.21, 91.21, 42.14 degrees
Atoms (fractional coordinates):
Pr 0.000 0.000 0.000
Pr 0.187 0.187 0.258
Pr 0.291 0.291 0.772
Pr 0.465 0.465 0.746
Pr 0.535 0.535 0.254
Pr 0.709 0.709 0.228
Pr 0.813 0.813 0.742
Dy 0.000 0.000 0.500
Y 0.132 0.595 0.264
Y 0.405 0.868 0.736
Y 0.595 0.132 0.264
Y 0.868 0.405 0.736

Calculated values
N(E_F): 2.02 states/eV/atom
crystal system: monoclinic
formation energy from the elements: 0.1349 eV per atom
SG: C2/m
M_tot: 0.0 μB/cell

***

(12)
A geometry-optimized PrDy5Y12 structure. Source: Alexandria via LeMat-Bulk, functional PBE.

Cell lengths 10.715, 10.715, 5.048 Å; angles 90.00, 90.00, 90.07 degrees
Atoms (fractional coordinates):
Pr 0.000 0.000 0.000
Dy 0.168 0.832 0.500
Dy 0.334 0.666 0.000
Dy 0.500 0.500 0.500
Dy 0.666 0.334 0.000
Dy 0.832 0.168 0.500
Y 0.001 0.666 0.000
Y 0.167 0.167 0.500
Y 0.168 0.501 0.500
Y 0.334 0.334 0.000
Y 0.334 0.999 0.000
Y 0.499 0.832 0.500
Y 0.501 0.168 0.500
Y 0.666 0.001 0.000
Y 0.666 0.666 0.000
Y 0.832 0.499 0.500
Y 0.833 0.833 0.500
Y 0.999 0.334 0.000

Calculated values
N(E_F): 1.48 states/eV/atom
crystal system: orthorhombic
formation energy from the elements: 0.0232 eV per atom
SG: Cmmm
M_tot: 0.0 μB/cell

***

(13)
A geometry-optimized Pr4DyY6 structure. Source: Alexandria via LeMat-Bulk, functional PBE.

Cell lengths 5.690, 5.690, 26.142 Å; angles 90.00, 90.00, 118.53 degrees
Atoms (fractional coordinates):
Pr 0.030 0.970 0.623
Pr 0.030 0.970 0.877
Pr 0.343 0.657 0.545
Pr 0.343 0.657 0.955
Pr 0.657 0.343 0.045
Pr 0.657 0.343 0.455
Pr 0.970 0.030 0.123
Pr 0.970 0.030 0.377
Dy 0.316 0.684 0.250
Dy 0.684 0.316 0.750
Y 0.000 0.000 0.000
Y 0.000 0.000 0.500
Y 0.018 0.982 0.750
Y 0.311 0.689 0.107
Y 0.311 0.689 0.393
Y 0.355 0.645 0.683
Y 0.355 0.645 0.817
Y 0.645 0.355 0.183
Y 0.645 0.355 0.317
Y 0.689 0.311 0.607
Y 0.689 0.311 0.893
Y 0.982 0.018 0.250

Calculated values
N(E_F): 1.91 states/eV/atom
crystal system: orthorhombic
formation energy from the elements: 0.1131 eV per atom
SG: Cmcm
M_tot: 0.0 μB/cell

***

(14)
A geometry-optimized Pr5Dy6Y structure. Source: Alexandria via LeMat-Bulk, functional PBE.

Cell lengths 9.577, 9.577, 6.233 Å; angles 90.63, 90.63, 44.62 degrees
Atoms (fractional coordinates):
Pr 0.000 0.000 0.000
Pr 0.167 0.167 0.667
Pr 0.334 0.334 0.333
Pr 0.666 0.666 0.667
Pr 0.833 0.833 0.333
Dy 0.084 0.583 0.833
Dy 0.251 0.749 0.500
Dy 0.417 0.916 0.167
Dy 0.583 0.084 0.833
Dy 0.749 0.251 0.500
Dy 0.916 0.417 0.167
Y 0.500 0.500 0.000

Calculated values
N(E_F): 1.33 states/eV/atom
crystal system: monoclinic
formation energy from the elements: 0.0162 eV per atom
SG: C2/m
M_tot: 0.0 μB/cell

***

(15)
A geometry-optimized PrDy12Y7 structure. Source: Alexandria via LeMat-Bulk, functional PBE.

Cell lengths 8.741, 8.741, 8.741 Å; angles 86.86, 86.86, 86.86 degrees
Atoms (fractional coordinates):
Pr 0.000 0.000 0.000
Dy 0.104 0.347 0.431
Dy 0.232 0.759 0.355
Dy 0.241 0.645 0.768
Dy 0.347 0.431 0.104
Dy 0.355 0.232 0.759
Dy 0.431 0.104 0.347
Dy 0.569 0.896 0.653
Dy 0.645 0.768 0.241
Dy 0.653 0.569 0.896
Dy 0.759 0.355 0.232
Dy 0.768 0.241 0.645
Dy 0.896 0.653 0.569
Y 0.003 0.367 0.878
Y 0.122 0.997 0.633
Y 0.367 0.878 0.003
Y 0.500 0.500 0.500
Y 0.633 0.122 0.997
Y 0.878 0.003 0.367
Y 0.997 0.633 0.122

Calculated values
N(E_F): 1.86 states/eV/atom
crystal system: trigonal
formation energy from the elements: 0.2479 eV per atom
SG: R-3
M_tot: 0.0 μB/cell

***

(16)
A geometry-optimized Pr3Dy5Y4 structure. Source: Alexandria via LeMat-Bulk, functional PBE.

Cell lengths 6.211, 7.205, 9.498 Å; angles 101.02, 108.64, 90.10 degrees
Atoms (fractional coordinates):
Pr 0.000 0.000 0.000
Pr 0.498 0.582 0.331
Pr 0.502 0.418 0.669
Dy 0.000 0.500 0.000
Dy 0.001 0.667 0.667
Dy 0.499 0.750 0.999
Dy 0.501 0.250 0.001
Dy 0.999 0.333 0.333
Y 0.000 0.167 0.666
Y 0.000 0.833 0.334
Y 0.500 0.083 0.333
Y 0.500 0.917 0.667

Calculated values
N(E_F): 1.40 states/eV/atom
crystal system: triclinic
formation energy from the elements: 0.0170 eV per atom
SG: P-1
M_tot: 0.0 μB/cell

***

(17)
A geometry-optimized Pr7Dy16Y6 structure. Source: Alexandria via LeMat-Bulk, functional PBE.

Cell lengths 11.253, 11.253, 11.253 Å; angles 60.00, 60.00, 60.00 degrees
Atoms (fractional coordinates):
Pr 0.000 0.000 0.000
Pr 0.000 0.000 0.500
Pr 0.000 0.500 0.000
Pr 0.000 0.500 0.500
Pr 0.500 0.000 0.000
Pr 0.500 0.000 0.500
Pr 0.500 0.500 0.000
Dy 0.043 0.652 0.652
Dy 0.127 0.127 0.127
Dy 0.127 0.127 0.619
Dy 0.127 0.619 0.127
Dy 0.348 0.348 0.348
Dy 0.348 0.348 0.957
Dy 0.348 0.957 0.348
Dy 0.381 0.873 0.873
Dy 0.619 0.127 0.127
Dy 0.652 0.043 0.652
Dy 0.652 0.652 0.043
Dy 0.652 0.652 0.652
Dy 0.873 0.381 0.873
Dy 0.873 0.873 0.381
Dy 0.873 0.873 0.873
Dy 0.957 0.348 0.348
Y 0.266 0.266 0.734
Y 0.266 0.734 0.266
Y 0.266 0.734 0.734
Y 0.734 0.266 0.266
Y 0.734 0.266 0.734
Y 0.734 0.734 0.266

Calculated values
N(E_F): 2.01 states/eV/atom
crystal system: cubic
formation energy from the elements: 0.2499 eV per atom
SG: Fm-3m
M_tot: 0.0 μB/cell

***

(18)
A geometry-optimized Pr6Dy4Y structure. Source: Alexandria via LeMat-Bulk, functional PBE.

Cell lengths 8.605, 8.605, 8.605 Å; angles 125.61, 125.61, 80.52 degrees
Atoms (fractional coordinates):
Pr 0.000 0.500 0.500
Pr 0.096 0.751 0.000
Pr 0.249 0.249 0.346
Pr 0.500 0.000 0.500
Pr 0.751 0.096 0.000
Pr 0.904 0.904 0.654
Dy 0.066 0.066 0.505
Dy 0.439 0.934 0.000
Dy 0.561 0.561 0.495
Dy 0.934 0.439 0.000
Y 0.500 0.500 0.000

Calculated values
N(E_F): 1.23 states/eV/atom
crystal system: tetragonal
formation energy from the elements: 0.4361 eV per atom
SG: I-42m
M_tot: 0.0 μB/cell